1.
Crystalline NaGaSe2Cl at its relaxed geometry, computed with PBE.

raw total energy = -2.952 eV/atom

Lattice parameters (Å, degrees): 4.7673 10.9448 4.7673 90.00 90.00 90.00
Positions (direct):
Se  0.5000  0.0000  0.0000
Se  0.0000  0.0000  0.5000
Na  0.0000  0.5000  0.0000
Ga  0.0000  0.0000  0.0000
Cl  0.5000  0.5000  0.5000

2.
Crystalline Na2SmGaCl6 at its relaxed geometry, computed with PBE.

raw total energy = -3.921 eV/atom

Lattice parameters (Å, degrees): 7.1808 7.1811 7.7225 62.28 62.27 59.99
Positions (direct):
Cl  0.1332  0.3915  0.7609
Cl  0.9363  0.5897  0.2398
Ga  0.8098  0.8098  0.5714
Na  0.5203  0.5202  0.4395
Na  0.0102  0.0102  0.9692
Cl  0.3915  0.7143  0.7608
Cl  0.7144  0.1331  0.7609
Sm  0.3222  0.3223  0.0332
Cl  0.5896  0.2342  0.2398
Cl  0.2341  0.9363  0.2397

3.
Crystalline NaGaSn2Cl6 at its relaxed geometry, computed with PBE.

raw total energy = -3.445 eV/atom

Lattice parameters (Å, degrees): 7.5643 7.5714 7.7827 60.80 60.89 59.90
Positions (direct):
Sn  0.0049  0.0048  0.9856
Na  0.3129  0.3129  0.0609
Ga  0.8081  0.8088  0.5752
Cl  0.9441  0.6283  0.2372
Cl  0.1906  0.9437  0.2376
Cl  0.4076  0.7020  0.7339
Cl  0.6281  0.1913  0.2366
Cl  0.7022  0.1549  0.7351
Cl  0.1558  0.4079  0.7345
Sn  0.5073  0.5071  0.4785

4.
Crystalline NaSrGa2Cl8 at its relaxed geometry, computed with PBE.

raw total energy = -3.355 eV/atom

Lattice parameters (Å, degrees): 6.8920 6.8920 9.5440 90.00 90.00 120.00
Site moments in Bohr magnetons follow the coordinates.
Positions (direct):
Cl  0.3333  0.6667  0.0048  0.03
Cl  0.9780  0.6729  0.2972  0.03
Cl  0.3051  0.9780  0.7028  0.03
Cl  0.6949  0.0220  0.2972  0.03
Sr  0.0000  0.0000  0.5000  0.01
Cl  0.6667  0.3333  0.9952  0.03
Ga  0.6667  0.3333  0.2279  0.13
Cl  0.0220  0.3271  0.7028  0.03
Cl  0.3271  0.3051  0.2972  0.03
Ga  0.3333  0.6667  0.7721  0.13
Na  0.0000  0.0000  0.0000  0.00
Cl  0.6729  0.6949  0.7028  0.03

5.
Crystalline Na2TbGaCl6 at its relaxed geometry, computed with PBE.

raw total energy = -3.921 eV/atom

Lattice parameters (Å, degrees): 7.1398 7.1405 7.6895 62.32 62.32 59.99
Positions (direct):
Cl  0.2359  0.9433  0.2380
Cl  0.3932  0.7110  0.7638
Tb  0.3235  0.3237  0.0290
Cl  0.1319  0.3931  0.7640
Na  0.0093  0.0092  0.9721
Cl  0.5825  0.2360  0.2380
Ga  0.8100  0.8100  0.5710
Na  0.5209  0.5208  0.4372
Cl  0.9433  0.5826  0.2381
Cl  0.7111  0.1318  0.7639

6.
Crystalline Na2TiGaCl6 at its relaxed geometry, computed with PBE.

raw total energy = -3.941 eV/atom

Lattice parameters (Å, degrees): 6.9426 6.9420 7.4604 62.26 62.25 59.97
Site moments in Bohr magnetons follow the coordinates.
Positions (direct):
Ti  0.3265  0.3265  0.0204  0.90
Na  0.5245  0.5244  0.4266  0.00
Ga  0.8102  0.8102  0.5693  0.00
Cl  0.6898  0.1276  0.7779  -0.01
Cl  0.5568  0.2415  0.2303  -0.01
Cl  0.9712  0.5571  0.2302  -0.01
Cl  0.4048  0.6896  0.7778  -0.01
Cl  0.2416  0.9713  0.2301  -0.01
Cl  0.1277  0.4049  0.7779  -0.01
Na  0.0084  0.0086  0.9747  0.00

7.
Crystalline NaTiGaCl6 at its relaxed geometry, computed with PBE.

raw total energy = -4.004 eV/atom

Lattice parameters (Å, degrees): 6.8175 6.8175 6.2151 90.02 89.98 59.96
Positions (direct):
Ti  0.3333  0.3334  0.5000
Cl  0.3405  0.6126  0.2787
Ga  0.9999  0.9999  0.0000
Na  0.6665  0.6666  0.5000
Cl  0.6131  0.0465  0.2788
Cl  0.0464  0.6131  0.7211
Cl  0.0470  0.3405  0.2787
Cl  0.6126  0.3405  0.7213
Cl  0.3405  0.0470  0.7213

8.
Crystalline NaTlGa2Cl8 at its relaxed geometry, computed with PBE.

raw total energy = -3.311 eV/atom

Lattice parameters (Å, degrees): 6.5681 6.5681 10.1525 71.13 71.13 60.00
Positions (direct):
Tl  0.5000  0.5000  0.5000
Ga  0.2484  0.2484  0.2547
Cl  0.1705  0.1705  0.4886
Cl  0.4196  0.7056  0.8172
Cl  0.9424  0.5804  0.1828
Na  0.0000  0.0000  0.0000
Ga  0.7516  0.7516  0.7453
Cl  0.0576  0.4196  0.8172
Cl  0.5804  0.2944  0.1828
Cl  0.8295  0.8295  0.5114
Cl  0.7056  0.0576  0.8172
Cl  0.2944  0.9424  0.1828

Asked for ΔE_f (raw) across the records above, the calculation gives -0.319, -1.775, -1.102, -1.369, -1.783, -1.477, -1.413, -1.269 eV/atom in order.